1.
A plane-wave DFT calculation with PBE-GGA was carried out for DyY2GaN after structural relaxation.

Lattice parameters (Å, degrees): 4.760 4.760 4.754 90.00 90.00 90.00
Element x y z (fractional)
Dy1 0.000 0.000 0.000
Y1 0.000 0.500 0.500
Y2 0.500 0.000 0.500
Ga1 0.500 0.500 0.000
N1 0.000 0.000 0.500

Summary:
uncorrected energy	-33.804	eV per cell
total magnetization	0.0000	μB per atom

---

2.
A plane-wave DFT calculation with PBE-GGA was carried out for NaDyGa after structural relaxation.

Lattice parameters (Å, degrees): 4.184 4.184 9.523 103.00 103.00 88.28
Element x y z (fractional)
Na1 0.249 0.249 0.000
Na2 0.751 0.751 0.000
Dy1 0.314 0.314 0.627
Dy2 0.686 0.686 0.373
Ga1 0.146 0.146 0.293
Ga2 0.854 0.854 0.707

Summary:
uncorrected energy	-18.595	eV per cell
DFT formation energy	-0.1166	eV/atom
total magnetization	0.0006	μB per atom

---

3.
A plane-wave DFT calculation with PBE-GGA was carried out for NaDyGa4 after structural relaxation.

Lattice parameters (Å, degrees): 5.536 5.536 5.536 60.00 60.00 60.00
Element x y z (fractional)
Na1 0.000 0.000 0.000
Dy1 0.750 0.750 0.750
Ga1 0.375 0.375 0.375
Ga2 0.375 0.375 0.874
Ga3 0.375 0.874 0.375
Ga4 0.874 0.375 0.375

Summary:
uncorrected energy	-19.905	eV per cell
DFT formation energy	-0.3127	eV/atom
total magnetization	0.0000	μB per atom

---

4.
A plane-wave DFT calculation with PBE-GGA was carried out for NaDyGa6 after structural relaxation.

Lattice parameters (Å, degrees): 4.387 5.956 6.172 90.00 90.00 90.00
Element x y z (fractional)
Na1 0.000 0.000 0.000
Dy1 0.500 0.500 0.191
Ga1 0.000 0.264 0.449
Ga2 0.000 0.500 0.845
Ga3 0.000 0.736 0.449
Ga4 0.500 0.000 0.348
Ga5 0.500 0.237 0.738
Ga6 0.500 0.763 0.738

Summary:
uncorrected energy	-26.155	eV per cell
DFT formation energy	-0.2591	eV/atom
total magnetization	0.0000	μB per atom

---

5.
A plane-wave DFT calculation with PBE-GGA was carried out for NaDyGa4 after structural relaxation.

Lattice parameters (Å, degrees): 5.687 5.687 5.687 133.92 104.29 93.41
Element x y z (fractional)
Na1 0.000 0.000 0.000
Dy1 0.500 0.000 0.500
Ga1 0.044 0.332 0.712
Ga2 0.379 0.668 0.712
Ga3 0.621 0.332 0.288
Ga4 0.956 0.668 0.288

Summary:
uncorrected energy	-20.240	eV per cell
DFT formation energy	-0.3686	eV/atom
total magnetization	0.0000	μB per atom

---

6.
A plane-wave DFT calculation with PBE-GGA was carried out for NaNdDyGa after structural relaxation.

Lattice parameters (Å, degrees): 5.308 5.308 5.308 60.00 60.00 60.00
Element x y z (fractional)
Na1 0.000 0.000 0.000
Nd1 0.750 0.750 0.750
Dy1 0.250 0.250 0.250
Ga1 0.500 0.500 0.500

Summary:
uncorrected energy	-14.238	eV per cell
DFT formation energy	-0.1306	eV/atom
total magnetization	0.0000	μB per atom